No. 1
Cs3InB | Alexandria via LeMat-Bulk | PBE-GGA | relaxed; SG = No. 221; magnetization = 1.26 μB/f.u.; ΔE_f = 1.15 eV per atom
1.0
-1.077 -4.342 -5.851
0.940 -5.948 4.241
-7.225 -0.127 1.424
Cs In B
3 1 1
direct
0.000 0.500 0.000
0.000 0.000 0.500
0.500 0.000 0.000
0.000 0.000 0.000
0.500 0.500 0.500

---

No. 2
CaNdSi2 | Alexandria via LeMat-Bulk | PBE-GGA | relaxed; excess energy over the best structure of this formula in the dataset = 0.000 eV/atom; SG = No. 38; uncorrected formation energy = -62 kJ/mol of atoms; magnetization = 0.00 μB/f.u.
1.0
-0.071 2.996 -3.326
1.418 -2.689 -2.452
-5.031 -3.018 0.400
Ca Nd Si
1 1 2
direct
0.442 0.500 0.423
0.724 0.000 0.986
0.153 0.500 0.845
0.013 0.000 0.564

---

No. 3
NaAg3Au | Alexandria via LeMat-Bulk | PBE-GGA | relaxed; excess energy over the best structure of this formula in the dataset = 0.000 eV/atom; SG = No. 194; magnetization = 0.00 μB/f.u.; ΔE_f = 0.05 eV per atom
1.0
5.492 0.000 0.000
0.000 6.930 0.000
0.000 -3.465 6.001
Na Ag Au
2 6 2
direct
0.750 0.667 0.333
0.250 0.333 0.667
0.750 0.598 0.799
0.250 0.799 0.598
0.250 0.402 0.201
0.750 0.201 0.402
0.250 0.799 0.201
0.750 0.201 0.799
0.000 0.000 0.000
0.500 0.000 0.000

---

No. 4
CaLa3Ho3Te8 | Alexandria via LeMat-Bulk | PBE-GGA | relaxed; SG = No. 166; uncorrected formation energy = -144 kJ/mol of atoms; magnetization = 0.00 μB/f.u.
1.0
8.860 0.000 0.000
-4.430 7.673 -0.027
0.000 -5.089 7.359
Ca La Ho Te
1 3 3 8
direct
0.000 0.000 0.500
0.000 0.000 0.000
0.000 0.500 0.000
0.500 0.500 0.000
0.500 0.000 0.500
0.500 0.500 0.500
0.000 0.500 0.500
0.256 0.511 0.267
0.744 0.489 0.733
0.746 0.493 0.258
0.254 0.507 0.742
0.747 0.012 0.258
0.253 0.988 0.742
0.265 0.012 0.258
0.735 0.988 0.742

---

No. 5
La6AlGa5 | Alexandria via LeMat-Bulk | PBE-GGA | relaxed; SG = No. 71; magnetization = 0.00 μB/f.u.; ΔE_f = -0.53 eV per atom
1.0
-3.725 -2.608 -2.808
-0.046 -5.498 5.167
-3.870 7.910 2.874
Al Ga La
1 5 6
direct
0.000 0.000 0.000
0.336 0.836 0.672
0.667 0.667 0.335
0.000 0.500 0.000
0.333 0.333 0.665
0.664 0.164 0.328
0.168 0.419 0.336
0.168 0.916 0.336
0.500 0.253 0.000
0.500 0.747 0.000
0.832 0.084 0.664
0.832 0.581 0.664

---

No. 6
BeCr4Ni | Alexandria via LeMat-Bulk | PBE-GGA | relaxed; SG = No. 216; magnetization = 0.00 μB/f.u.; ΔE_f = 0.38 eV per atom
1.0
0.000 3.278 3.278
3.278 0.000 3.278
3.278 3.278 0.000
Be Cr Ni
1 4 1
direct
0.000 0.000 0.000
0.879 0.374 0.374
0.374 0.374 0.879
0.374 0.879 0.374
0.374 0.374 0.374
0.750 0.750 0.750

---

No. 7
Ta3V7Si6 | Alexandria via LeMat-Bulk | PBE-GGA | relaxed; SG = No. 189; uncorrected formation energy = -56 kJ/mol of atoms; magnetization = 0.00 μB/f.u.
1.0
-1.776 -6.963 -1.223
4.747 3.374 -4.384
3.684 -1.445 2.877
Ta V Si
3 7 6
direct
0.229 0.000 0.000
0.000 0.229 0.000
0.771 0.771 0.000
0.333 0.667 0.746
0.667 0.333 0.746
0.667 0.333 0.254
0.333 0.667 0.254
0.735 0.000 0.500
0.000 0.735 0.500
0.265 0.265 0.500
0.389 0.000 0.500
0.000 0.389 0.500
0.611 0.611 0.500
0.592 0.000 0.000
0.000 0.592 0.000
0.408 0.408 0.000

---

No. 8
K2RbLi | Alexandria via LeMat-Bulk | PBE-GGA | relaxed; excess energy over the best structure of this formula in the dataset = 0.027 eV/atom; SG = No. 123; magnetization = 0.00 μB/f.u.; ΔE_f = 0.12 eV per atom
1.0
6.371 0.000 0.000
0.000 6.241 0.000
0.000 0.000 6.241
K Rb Li
2 1 1
direct
0.000 0.000 0.500
0.000 0.500 0.000
0.500 0.000 0.000
0.500 0.500 0.500

---

No. 9
Pm3TiO7 | Alexandria via LeMat-Bulk | PBE-GGA | relaxed; SG = No. 20; uncorrected formation energy = -302 kJ/mol of atoms; magnetization = 1.09 μB/f.u.
1.0
-3.871 -4.211 -3.338
6.245 -0.668 -2.101
1.211 -5.301 5.283
Pm Ti O
6 2 14
direct
0.464 0.464 0.500
0.536 0.536 0.000
0.541 0.996 0.259
0.459 0.004 0.759
0.996 0.541 0.741
0.004 0.459 0.241
0.991 0.991 0.500
0.009 0.009 0.000
0.696 0.943 0.541
0.304 0.057 0.041
0.943 0.696 0.459
0.057 0.304 0.959
0.081 0.323 0.522
0.919 0.677 0.022
0.323 0.081 0.478
0.677 0.919 0.978
0.371 0.629 0.250
0.629 0.371 0.750
0.636 0.364 0.250
0.364 0.636 0.750
0.936 0.064 0.250
0.064 0.936 0.750

---

No. 10
MnPt2Au | Alexandria via LeMat-Bulk | PBE-GGA | relaxed; SG = No. 47; magnetization = 4.27 μB/f.u.; ΔE_f = -0.21 eV per atom
1.0
2.889 0.000 0.000
0.000 3.804 0.000
0.000 0.000 5.783
Mn Au Pt
1 1 2
direct
0.500 0.500 0.750
0.500 0.500 0.250
0.000 0.000 0.987
0.000 0.000 0.513

---

No. 11
RbY2Co | Alexandria via LeMat-Bulk | PBE-GGA | relaxed; SG = No. 166; magnetization = 0.00 μB/f.u.; ΔE_f = 0.12 eV per atom
1.0
-1.958 3.451 -0.228
-3.452 0.456 1.916
3.607 4.959 9.443
Y Co Rb
2 1 1
direct
0.125 0.125 0.626
0.875 0.875 0.374
0.500 0.500 0.500
0.000 0.000 0.000

---

No. 12
SiH4S | Alexandria via LeMat-Bulk | PBE-GGA | relaxed; excess energy over the best structure of this formula in the dataset = 0.000 eV/atom; SG = No. 1; magnetization = 0.00 μB/f.u.
1.0
3.601 1.604 2.228
-0.598 4.346 2.115
1.171 1.666 8.092
Si H S
1 4 1
direct
0.864 0.504 0.680
0.229 0.269 0.629
0.782 0.630 0.500
0.914 0.791 0.675
0.336 0.055 0.991
0.364 0.268 0.033